## i
Material: LiMnF3
Method: DFT, PBE+U
State: optimized geometry

Lattice parameters (Å, degrees): 5.1624 5.1624 7.6998 90.00 90.00 145.55
Site moments in Bohr magnetons follow the coordinates.
Fractional coordinates of all 10 atoms:
1 Li 0.7405 0.2595 0.7500  0.00
2 Li 0.2595 0.7405 0.2500  0.00
3 Mn 0.0000 0.0000 0.5000  4.68
4 Mn 0.0000 0.0000 0.0000  4.68
5 F 0.8949 0.1051 0.2500  0.04
6 F 0.6362 0.3638 0.0766  0.05
7 F 0.6362 0.3638 0.4234  0.05
8 F 0.3638 0.6362 0.9234  0.05
9 F 0.3638 0.6362 0.5766  0.05
10 F 0.1051 0.8949 0.7500  0.04

Results
Its space group is Cmcm (63). The calculation puts the volume at 116 Å³/cell. The total magnetic moment comes out at 1.000 μB per atom.



## ii
Material: LiMnF3
Method: DFT, PBE+U
State: optimized geometry

Lattice parameters (Å, degrees): 3.3696 5.6016 6.4410 90.00 105.16 90.00
Site moments in Bohr magnetons follow the coordinates.
Fractional coordinates of all 10 atoms:
1 Li 0.9430 0.2500 0.8861  0.00
2 Li 0.0570 0.7500 0.1139  0.00
3 Mn 0.3199 0.7500 0.6399  4.70
4 Mn 0.6801 0.2500 0.3601  4.70
5 F 0.8319 0.0039 0.6638  0.04
6 F 0.1681 0.5039 0.3362  0.04
7 F 0.5124 0.2500 0.0248  0.03
8 F 0.1681 0.9961 0.3362  0.04
9 F 0.8319 0.4961 0.6638  0.04
10 F 0.4876 0.7500 0.9752  0.03

Results
Its space group is Cmcm (63). The calculation puts the volume at 117 Å³/cell. The total magnetic moment comes out at 1.000 μB per atom.



On energetic grounds, ii is preferred over the next structure by 5.3 kJ/mol of atoms.